Entry 1:
Crystalline Er3Hg2Rh at its relaxed geometry. Source: Alexandria via LeMat-Bulk, functional PBE.

Output
Energy relative to the lowest polymorph listed for this composition = 0 meV per atom
Crystal system = monoclinic

abc: 5.030 7.364 7.921
angles: 90.00 108.37 90.00
Space group P2/m (No. 10)
Asymmetric unit:
Er: 0.000 0.237 0.000 (multiplicity 2)
Er: 0.326 0.228 0.654 (multiplicity 4)
Hg: 0.165 0.500 0.331 (multiplicity 2)
Hg: 0.500 0.000 0.000 (multiplicity 1)
Hg: 0.500 0.500 0.000 (multiplicity 1)
Rh: 0.164 0.000 0.328 (multiplicity 2)

=====

Entry 2:
Crystalline Er4HgRuRh2 at its relaxed geometry. Source: Alexandria via LeMat-Bulk, functional PBE.

Output
Crystal system = trigonal

abc: 4.8842 4.8842 24.1517
angles: 90.00 90.00 120.00
Space group R-3m (No. 166, hexagonal axes)
Asymmetric unit:
Er: 0.0000 0.0000 0.1179 (multiplicity 6)
Er: 0.0000 0.0000 0.3705 (multiplicity 6)
Hg: 0.0000 0.0000 0.5000 (multiplicity 3)
Ru: 0.0000 0.0000 0.0000 (multiplicity 3)
Rh: 0.0000 0.0000 0.2517 (multiplicity 6)

=====

Entry 3:
Crystalline ErScHgRh at its relaxed geometry. Source: Alexandria via LeMat-Bulk, functional PBE.

Output
Energy relative to the lowest polymorph listed for this composition = 0 meV per atom
Crystal system = tetragonal

abc: 3.386 3.386 7.270
angles: 90.00 90.00 90.00
Space group P4mm (No. 99)
Asymmetric unit:
Er: 0.000 0.000 0.000 (multiplicity 1)
Sc: 0.000 0.000 0.559 (multiplicity 1)
Hg: 0.500 0.500 0.298 (multiplicity 1)
Rh: 0.500 0.500 0.763 (multiplicity 1)

=====

Entry 4:
Crystalline ErScHgRh at its relaxed geometry. Source: Alexandria via LeMat-Bulk, functional PBE.

Output
Energy relative to the lowest polymorph listed for this composition = 101 meV per atom
Crystal system = cubic

abc: 6.925 6.925 6.925
angles: 90.00 90.00 90.00
Space group F-43m (No. 216)
Asymmetric unit:
Er: 0.000 0.000 0.000 (multiplicity 4)
Sc: 0.000 0.000 0.500 (multiplicity 4)
Hg: 0.250 0.250 0.750 (multiplicity 4)
Rh: 0.250 0.250 0.250 (multiplicity 4)

=====

Entry 5:
Crystalline ErSnHgRh at its relaxed geometry. Source: Alexandria via LeMat-Bulk, functional PBE.

Output
Crystal system = cubic

abc: 6.951 6.951 6.951
angles: 90.00 90.00 90.00
Space group F-43m (No. 216)
Asymmetric unit:
Er: 0.000 0.000 0.000 (multiplicity 4)
Sn: 0.000 0.000 0.500 (multiplicity 4)
Hg: 0.250 0.250 0.250 (multiplicity 4)
Rh: 0.250 0.250 0.750 (multiplicity 4)

=====

Entry 6:
Crystalline TbErHgRh at its relaxed geometry. Source: Alexandria via LeMat-Bulk, functional PBE.

Output
Crystal system = cubic

abc: 7.126 7.126 7.126
angles: 90.00 90.00 90.00
Space group F-43m (No. 216)
Asymmetric unit:
Tb: 0.000 0.000 0.000 (multiplicity 4)
Er: 0.000 0.000 0.500 (multiplicity 4)
Hg: 0.250 0.250 0.250 (multiplicity 4)
Rh: 0.250 0.250 0.750 (multiplicity 4)

=====

Entry 7:
Crystalline Er5Tl2HgRh2 at its relaxed geometry. Source: Alexandria via LeMat-Bulk, functional PBE.

Output
Crystal system = tetragonal

abc: 11.762 11.762 3.627
angles: 90.00 90.00 90.00
Space group P4/mbm (No. 127)
Asymmetric unit:
Er: 0.000 0.500 0.000 (multiplicity 2)
Er: 0.079 0.203 0.000 (multiplicity 8)
Tl: 0.172 0.672 0.500 (multiplicity 4)
Hg: 0.000 0.000 0.500 (multiplicity 2)
Rh: 0.132 0.368 0.500 (multiplicity 4)

=====

Entry 8:
Crystalline ErTlHgRh at its relaxed geometry. Source: Alexandria via LeMat-Bulk, functional PBE.

Output
Crystal system = cubic

abc: 6.937 6.937 6.937
angles: 90.00 90.00 90.00
Space group F-43m (No. 216)
Asymmetric unit:
Er: 0.000 0.000 0.000 (multiplicity 4)
Tl: 0.250 0.250 0.750 (multiplicity 4)
Hg: 0.250 0.250 0.250 (multiplicity 4)
Rh: 0.000 0.000 0.500 (multiplicity 4)

=====

Entry 9:
Crystalline Er4TlHg2Rh at its relaxed geometry. Source: Alexandria via LeMat-Bulk, functional PBE.

Output
Crystal system = trigonal

abc: 5.1646 5.1646 24.9918
angles: 90.00 90.00 120.00
Space group R-3m (No. 166, hexagonal axes)
Asymmetric unit:
Er: 0.0000 0.0000 0.1141 (multiplicity 6)
Er: 0.0000 0.0000 0.3679 (multiplicity 6)
Tl: 0.0000 0.0000 0.5000 (multiplicity 3)
Hg: 0.0000 0.0000 0.2434 (multiplicity 6)
Rh: 0.0000 0.0000 0.0000 (multiplicity 3)

=====

Entry 10:
Crystalline ErZnHgRh at its relaxed geometry. Source: Alexandria via LeMat-Bulk, functional PBE.

Output
Crystal system = cubic

abc: 6.730 6.730 6.730
angles: 90.00 90.00 90.00
Space group F-43m (No. 216)
Asymmetric unit:
Er: 0.000 0.000 0.000 (multiplicity 4)
Zn: 0.000 0.000 0.500 (multiplicity 4)
Hg: 0.250 0.250 0.250 (multiplicity 4)
Rh: 0.250 0.250 0.750 (multiplicity 4)

=====

Entry 11:
Crystalline Er4HgRu2 at its relaxed geometry. Source: Alexandria via LeMat-Bulk, functional PBE.

Output
Crystal system = tetragonal

abc: 8.730 8.730 8.610
angles: 90.00 90.00 90.00
Space group I-42d (No. 122)
Asymmetric unit:
Er: 0.071 0.674 0.424 (multiplicity 16)
Hg: 0.000 0.000 0.500 (multiplicity 4)
Ru: 0.138 0.750 0.125 (multiplicity 8)

=====

Entry 12:
Crystalline Er6HgRu2 at its relaxed geometry. Source: Alexandria via LeMat-Bulk, functional PBE.

Output
Energy relative to the lowest polymorph listed for this composition = 118 meV per atom
Crystal system = monoclinic

abc: 9.932 4.990 9.241
angles: 90.00 100.29 90.00
Space group C2/m (No. 12)
Asymmetric unit:
Er: 0.037 0.000 0.337 (multiplicity 4)
Er: 0.159 0.500 0.887 (multiplicity 4)
Er: 0.221 0.500 0.345 (multiplicity 4)
Hg: 0.000 0.000 0.000 (multiplicity 2)
Ru: 0.111 0.500 0.599 (multiplicity 4)

=====

no.,E_tot (eV per formula unit),magnetization (μB/f.u.)
1,-25.4,0.00
2,-47.9,0.00
3,-21.4,0.00
4,-21.0,0.00
5,-17.9,0.00
6,-19.3,0.00
7,-48.0,0.00
8,-15.6,0.00
9,-32.9,0.00
10,-14.9,0.00
11,-39.3,0.00
12,-48.7,0.00